No. 1
This record from Alexandria describes crystalline H3Rh at its relaxed geometry. The functional is PBE-GGA.

Lattice parameters (Å, degrees): 5.0912 2.8906 3.5611 90.00 90.44 90.00
Closest atoms and distances in Å follow each position.
Atoms (fractional coordinates):
1 H 0.0000 0.0000 0.0000  2 Rh 1.78, 2 H 1.97
2 H 0.1719 0.5000 0.7008  3 Rh 1.82-1.83, 3 H 1.97-2.00
3 H 0.3281 0.0000 0.2992  3 Rh 1.82-1.83, 3 H 1.97-2.00
4 H 0.5000 0.5000 0.0000  2 Rh 1.78, 2 H 1.97
5 H 0.6719 0.0000 0.7008  3 Rh 1.82-1.83, 3 H 1.97-2.00
6 H 0.8281 0.5000 0.2992  3 Rh 1.82-1.83, 3 H 1.97-2.00
7 Rh 0.0000 0.0000 0.5000  8 H 1.78-1.83
8 Rh 0.5000 0.5000 0.5000  8 H 1.78-1.83

Calculated values
Its crystal system is monoclinic. The relative energy among the computed polymorphs is 0.0 meV/atom. The value obtained for the raw total energy is -4.281 eV per atom. The space-group type is C2/m.


No. 2
This record from Alexandria describes crystalline Sm3Tm2ScTe6 at its relaxed geometry. The functional is PBE-GGA.

Lattice parameters (Å, degrees): 9.7820 9.7820 8.7994 104.43 104.43 25.45
Closest atoms and distances in Å follow each position.
Atoms (fractional coordinates):
1 Sm 0.0000 0.0000 0.0000  6 Te 3.14-3.17
2 Sm 0.3307 0.3307 0.6634  6 Te 3.13-3.15
3 Sm 0.6693 0.6693 0.3366  6 Te 3.13-3.15
4 Tm 0.3345 0.3345 0.1680  6 Te 3.02-3.04
5 Tm 0.6655 0.6655 0.8320  6 Te 3.02-3.04
6 Sc 0.0000 0.0000 0.5000  6 Te 2.96-2.99
7 Te 0.1602 0.1602 0.5889  1 Sc 2.96, 2 Tm 3.02, 3 Sm 3.13-3.15
8 Te 0.1698 0.1698 0.0769  3 Tm 3.03-3.04, 3 Sm 3.14
9 Te 0.4988 0.4988 0.2640  2 Sc 2.99, 1 Tm 3.03, 3 Sm 3.15-3.17
10 Te 0.5012 0.5012 0.7360  2 Sc 2.99, 1 Tm 3.03, 3 Sm 3.15-3.17
11 Te 0.8302 0.8302 0.9231  3 Tm 3.03-3.04, 3 Sm 3.14
12 Te 0.8398 0.8398 0.4111  1 Sc 2.96, 2 Tm 3.02, 3 Sm 3.13-3.15

Calculated values
Its crystal system is monoclinic. The value obtained for the raw total energy is -5.290 eV per atom. The value obtained for the raw formation energy is -1.27 eV per atom. The space-group type is C2/m.


No. 3
This record from Alexandria describes crystalline Na3Y3PdO8 at its relaxed geometry. The functional is PBE-GGA.

Lattice parameters (Å, degrees): 6.7717 6.7717 6.7717 59.46 59.46 59.46
Closest atoms and distances in Å follow each position.
Atoms (fractional coordinates):
1 Na 0.0000 0.5000 0.5000  6 O 2.49-2.52
2 Na 0.5000 0.0000 0.5000  6 O 2.49-2.52
3 Na 0.5000 0.5000 0.0000  6 O 2.49-2.52
4 Y 0.0000 0.0000 0.5000  6 O 2.26-2.31
5 Y 0.0000 0.5000 0.0000  6 O 2.26-2.31
6 Y 0.5000 0.0000 0.0000  6 O 2.26-2.31
7 Pd 0.5000 0.5000 0.5000  6 O 2.10
8 O 0.2364 0.2364 0.2364  3 Y 2.26, 3 Na 2.52
9 O 0.2615 0.7205 0.7205  1 Pd 2.10, 2 Y 2.31
10 O 0.2795 0.2795 0.7385  1 Pd 2.10, 2 Y 2.31
11 O 0.2795 0.7385 0.2795  1 Pd 2.10, 2 Y 2.31
12 O 0.7205 0.2615 0.7205  1 Pd 2.10, 2 Y 2.31
13 O 0.7205 0.7205 0.2615  1 Pd 2.10, 2 Y 2.31
14 O 0.7385 0.2795 0.2795  1 Pd 2.10, 2 Y 2.31
15 O 0.7636 0.7636 0.7636  3 Y 2.26, 3 Na 2.52

Calculated values
Its crystal system is trigonal. The value obtained for the raw total energy is -6.849 eV per atom. The value obtained for the raw formation energy is -2.30 eV per atom. The space-group type is R-3m.


No. 4
This record from Alexandria describes crystalline Al2SnRh2 at its relaxed geometry. The functional is PBE-GGA.

Lattice parameters (Å, degrees): 3.6781 3.6781 12.4132 90.00 90.00 90.00
Closest atoms and distances in Å follow each position.
Atoms (fractional coordinates):
1 Al 0.0000 0.5000 0.2500  4 Rh 2.52, 4 Al 2.60
2 Al 0.0000 0.5000 0.7500  4 Rh 2.52, 4 Al 2.60
3 Al 0.5000 0.0000 0.2500  4 Rh 2.52, 4 Al 2.60
4 Al 0.5000 0.0000 0.7500  4 Rh 2.52, 4 Al 2.60
5 Sn 0.0000 0.0000 0.0000  8 Rh 2.94
6 Sn 0.5000 0.5000 0.5000  8 Rh 2.94
7 Rh 0.0000 0.0000 0.3891  4 Al 2.52, 1 Rh 2.75
8 Rh 0.0000 0.0000 0.6109  4 Al 2.52, 1 Rh 2.75
9 Rh 0.5000 0.5000 0.1109  4 Al 2.52, 1 Rh 2.75
10 Rh 0.5000 0.5000 0.8891  4 Al 2.52, 1 Rh 2.75

Calculated values
Its crystal system is tetragonal. The relative energy among the computed polymorphs is 71.6 meV/atom. The value obtained for the raw total energy is -5.815 eV per atom. As for the energy of formation from the pure elements: -0.58 eV per atom. The space-group type is I4/mmm.


No. 5
This record from Alexandria describes crystalline Zr2InSb at its relaxed geometry. The functional is PBE-GGA.

Lattice parameters (Å, degrees): 3.1997 3.1997 9.7178 90.00 90.00 90.00
Closest atoms and distances in Å follow each position.
Atoms (fractional coordinates):
1 Zr 0.0000 0.0000 0.0000  4 Sb 3.19, 8 Zr 3.20
2 Zr 0.5000 0.5000 0.2331  4 In 3.18, 8 Zr 3.20
3 In 0.0000 0.0000 0.4623  4 Zr 3.18, 4 In 3.20
4 Sb 0.5000 0.5000 0.7690  4 Zr 3.19, 4 Sb 3.20

Calculated values
Its crystal system is tetragonal. The relative energy among the computed polymorphs is 270.5 meV/atom. The value obtained for the raw total energy is -6.105 eV per atom. The value obtained for the raw formation energy is -0.12 eV per atom. The space-group type is P4mm.


No. 6
This record from Alexandria describes crystalline NbTe2RhI at its relaxed geometry. The functional is PBE-GGA.

Lattice parameters (Å, degrees): 5.1769 5.1769 5.1852 90.00 90.00 90.00
Closest atoms and distances in Å follow each position.
Atoms (fractional coordinates):
1 Nb 0.0000 0.0000 0.0000  4 I 3.66, 8 Te 3.66
2 Te 0.0000 0.5000 0.5000  2 Rh 2.59
3 Te 0.5000 0.0000 0.5000  2 Rh 2.59
4 Rh 0.5000 0.5000 0.5000  4 Te 2.59, 2 I 2.59
5 I 0.5000 0.5000 0.0000  2 Rh 2.59

Calculated values
Its crystal system is tetragonal. The relative energy among the computed polymorphs is 53.8 meV/atom. The value obtained for the raw total energy is -4.192 eV per atom. The value obtained for the raw formation energy is 0.86 eV per atom. The space-group type is P4/mmm.


No. 7
This record from Alexandria describes crystalline ScTlPt at its relaxed geometry. The functional is PBE-GGA.

Lattice parameters (Å, degrees): 6.5130 6.5130 6.5130 90.00 90.00 90.00
Closest atoms and distances in Å follow each position.
Atoms (fractional coordinates):
1 Sc 0.0000 0.0000 0.0000  4 Pt 2.82
2 Sc 0.0000 0.5000 0.5000  4 Pt 2.82
3 Sc 0.5000 0.0000 0.5000  4 Pt 2.82
4 Sc 0.5000 0.5000 0.0000  4 Pt 2.82
5 Tl 0.0000 0.0000 0.5000  4 Pt 2.82
6 Tl 0.0000 0.5000 0.0000  4 Pt 2.82
7 Tl 0.5000 0.0000 0.0000  4 Pt 2.82
8 Tl 0.5000 0.5000 0.5000  4 Pt 2.82
9 Pt 0.2500 0.2500 0.7500  4 Tl 2.82, 4 Sc 2.82
10 Pt 0.2500 0.7500 0.2500  4 Tl 2.82, 4 Sc 2.82
11 Pt 0.7500 0.2500 0.2500  4 Tl 2.82, 4 Sc 2.82
12 Pt 0.7500 0.7500 0.7500  4 Sc 2.82, 4 Tl 2.82

Calculated values
Its crystal system is cubic. The value obtained for the raw total energy is -5.510 eV per atom. As for the energy of formation from the pure elements: -0.60 eV per atom. The space-group type is F-43m.


No. 8
This record from Alexandria describes crystalline CrHg2Ir at its relaxed geometry. The functional is PBE-GGA.

Lattice parameters (Å, degrees): 3.1584 5.0279 9.2887 90.00 90.00 90.00
Closest atoms and distances in Å follow each position.
Atoms (fractional coordinates):
1 Cr 0.0000 0.0000 0.0000  4 Hg 2.80, 4 Cr 2.97
2 Cr 0.5000 0.5000 0.0000  4 Hg 2.80, 4 Cr 2.97
3 Hg 0.0000 0.5000 0.2491  2 Cr 2.80, 2 Ir 2.81, 4 Hg 2.97
4 Hg 0.0000 0.5000 0.7509  2 Cr 2.80, 2 Ir 2.81, 4 Hg 2.97
5 Hg 0.5000 0.0000 0.2491  2 Cr 2.80, 2 Ir 2.81, 4 Hg 2.97
6 Hg 0.5000 0.0000 0.7509  2 Cr 2.80, 2 Ir 2.81, 4 Hg 2.97
7 Ir 0.0000 0.0000 0.5000  4 Hg 2.81, 4 Ir 2.97
8 Ir 0.5000 0.5000 0.5000  4 Hg 2.81, 4 Ir 2.97

Calculated values
Its crystal system is orthorhombic. The relative energy among the computed polymorphs is 425.9 meV/atom. The value obtained for the raw total energy is -4.124 eV per atom. As for the energy of formation from the pure elements: 0.65 eV per atom. The space-group type is Cmmm.


No. 9
This record from Alexandria describes crystalline Te3PtAu at its relaxed geometry. The functional is PBE-GGA.

Lattice parameters (Å, degrees): 5.2953 5.2953 5.2953 90.00 90.00 90.00
Closest atoms and distances in Å follow each position.
Atoms (fractional coordinates):
1 Te 0.0000 0.0000 0.5000  2 Pt 2.65
2 Te 0.0000 0.5000 0.0000  2 Pt 2.65
3 Te 0.5000 0.0000 0.0000  2 Pt 2.65
4 Pt 0.0000 0.0000 0.0000  6 Te 2.65
5 Au 0.5000 0.5000 0.5000  12 Te 3.74

Calculated values
Its crystal system is cubic. The relative energy among the computed polymorphs is 803.5 meV/atom. The value obtained for the raw total energy is -3.155 eV per atom. The value obtained for the raw formation energy is 0.59 eV per atom. The space-group type is Pm-3m.


No. 10
This record from Alexandria describes crystalline Zr2AlV at its relaxed geometry. The functional is PBE-GGA.

Lattice parameters (Å, degrees): 4.4608 4.4608 3.8158 90.00 90.00 90.00
Closest atoms and distances in Å follow each position.
Atoms (fractional coordinates):
1 Zr 0.0000 0.5000 0.0000  4 Al 2.94, 4 V 2.94, 4 Zr 3.15
2 Zr 0.5000 0.0000 0.0000  4 Al 2.94, 4 V 2.94, 4 Zr 3.15
3 Al 0.0000 0.0000 0.5000  8 Zr 2.94, 4 V 3.15
4 V 0.5000 0.5000 0.5000  8 Zr 2.94, 4 Al 3.15

Calculated values
Its crystal system is tetragonal. The value obtained for the raw total energy is -7.651 eV per atom. As for the energy of formation from the pure elements: -0.16 eV per atom. The space-group type is P4/mmm.


No. 11
This record from Alexandria describes crystalline RbVTe4 at its relaxed geometry. The functional is PBE-GGA.

Lattice parameters (Å, degrees): 9.3993 9.3993 5.9772 94.65 94.65 54.78
Closest atoms and distances in Å follow each position.
Atoms (fractional coordinates):
1 Rb 0.1811 0.1811 0.2014  8 Te 3.78-4.01
2 Rb 0.8189 0.8189 0.7986  8 Te 3.78-4.01
3 V 0.4843 0.4843 0.7143  1 V 2.66, 7 Te 2.74-2.91
4 V 0.5157 0.5157 0.2857  1 V 2.66, 7 Te 2.74-2.91
5 Te 0.1966 0.5918 0.3863  2 V 2.76-2.91, 2 Te 3.05-3.06
6 Te 0.2505 0.7495 0.0000  2 V 2.75, 2 Te 3.06
7 Te 0.3209 0.3209 0.7373  1 V 2.74, 2 Te 3.05
8 Te 0.4082 0.8034 0.6137  2 V 2.76-2.91, 2 Te 3.05-3.06
9 Te 0.5918 0.1966 0.3863  2 V 2.76-2.91, 2 Te 3.05-3.06
10 Te 0.6791 0.6791 0.2627  1 V 2.74, 2 Te 3.05
11 Te 0.7495 0.2505 0.0000  2 V 2.75, 2 Te 3.06
12 Te 0.8034 0.4082 0.6137  2 V 2.76-2.91, 2 Te 3.05-3.06

Calculated values
Its crystal system is monoclinic. The relative energy among the computed polymorphs is 0.0 meV/atom. The value obtained for the raw total energy is -4.144 eV per atom. The value obtained for the raw formation energy is -0.37 eV per atom. The space-group type is C2/m.


No. 12
This record from Alexandria describes crystalline Pr4SmHo3Se8 at its relaxed geometry. The functional is PBE-GGA.

Lattice parameters (Å, degrees): 8.4580 8.4580 8.4580 58.44 58.44 58.44
Closest atoms and distances in Å follow each position.
Atoms (fractional coordinates):
1 Pr 0.0000 0.0000 0.0000  6 Se 3.00
2 Pr 0.0000 0.5000 0.5000  6 Se 3.04
3 Pr 0.5000 0.0000 0.5000  6 Se 3.04
4 Pr 0.5000 0.5000 0.0000  6 Se 3.04
5 Sm 0.5000 0.5000 0.5000  6 Se 2.92
6 Ho 0.0000 0.0000 0.5000  6 Se 2.87
7 Ho 0.0000 0.5000 0.0000  6 Se 2.87
8 Ho 0.5000 0.0000 0.0000  6 Se 2.87
9 Se 0.2390 0.7471 0.7471  2 Ho 2.87, 1 Sm 2.92, 3 Pr 3.00-3.04
10 Se 0.2433 0.2433 0.2433  3 Ho 2.87, 3 Pr 3.04
11 Se 0.2529 0.2529 0.7610  2 Ho 2.87, 1 Sm 2.92, 3 Pr 3.00-3.04
12 Se 0.2529 0.7610 0.2529  2 Ho 2.87, 1 Sm 2.92, 3 Pr 3.00-3.04
13 Se 0.7471 0.2390 0.7471  2 Ho 2.87, 1 Sm 2.92, 3 Pr 3.00-3.04
14 Se 0.7471 0.7471 0.2390  2 Ho 2.87, 1 Sm 2.92, 3 Pr 3.00-3.04
15 Se 0.7567 0.7567 0.7567  3 Ho 2.87, 3 Pr 3.04
16 Se 0.7610 0.2529 0.2529  2 Ho 2.87, 1 Sm 2.92, 3 Pr 3.00-3.04

Calculated values
Its crystal system is trigonal. The value obtained for the raw total energy is -5.887 eV per atom. The value obtained for the raw formation energy is -1.80 eV per atom. The space-group type is R-3m.